Model a:
# ScTlTe2Au (PBE, relaxed)
# Total moment in μB/atom: 0.000
data_ScTlTe2Au
_cell_length_a 4.923
_cell_length_b 8.588
_cell_length_c 7.453
_cell_angle_alpha 99.78
_cell_angle_beta 90.00
_cell_angle_gamma 90.00
_symmetry_space_group_name_H-M 'P 1'
_symmetry_Int_Tables_number 1
loop_
_symmetry_equiv_pos_as_xyz
'x,y,z'
loop_
_atom_site_label
_atom_site_fract_x
_atom_site_fract_y
_atom_site_fract_z
_atom_site_occupancy
Tl1 0.160 0.500 0.750 1
Tl2 0.840 0.500 0.250 1
Te1 0.659 0.751 0.949 1
Te2 0.341 0.751 0.449 1
Te3 0.341 0.249 0.051 1
Te4 0.659 0.249 0.551 1
Au1 0.000 0.000 0.500 1
Au2 0.000 0.000 0.000 1
Sc1 0.499 0.000 0.750 1
Sc2 0.501 0.000 0.250 1


Model b:
# ScTlTe2Au (PBE, relaxed)
# Total moment in μB/atom: 0.000
data_ScTlTe2Au
_cell_length_a 5.448
_cell_length_b 5.885
_cell_length_c 5.448
_cell_angle_alpha 90.00
_cell_angle_beta 90.00
_cell_angle_gamma 90.00
_symmetry_space_group_name_H-M 'P 1'
_symmetry_Int_Tables_number 1
loop_
_symmetry_equiv_pos_as_xyz
'x,y,z'
loop_
_atom_site_label
_atom_site_fract_x
_atom_site_fract_y
_atom_site_fract_z
_atom_site_occupancy
Te1 0.500 0.000 0.000 1
Te2 0.000 0.000 0.500 1
Au1 0.500 0.500 0.500 1
Tl1 0.000 0.500 0.000 1
Sc1 0.000 0.000 0.000 1


Short version: model a is the most stable of them.


Model a:
# ScTiAu2 (PBE, relaxed)
# Total moment in μB/atom: 0.302
data_ScTiAu2
_cell_length_a 4.726
_cell_length_b 4.726
_cell_length_c 4.726
_cell_angle_alpha 60.00
_cell_angle_beta 60.00
_cell_angle_gamma 60.00
_symmetry_space_group_name_H-M 'P 1'
_symmetry_Int_Tables_number 1
loop_
_symmetry_equiv_pos_as_xyz
'x,y,z'
loop_
_atom_site_label
_atom_site_fract_x
_atom_site_fract_y
_atom_site_fract_z
_atom_site_occupancy
Sc1 0.000 0.000 0.000 1
Au1 0.750 0.750 0.750 1
Au2 0.250 0.250 0.250 1
Ti1 0.500 0.500 0.500 1


Model b:
# ScTiAu2 (PBE, relaxed)
# Total moment in μB/atom: 0.458
data_ScTiAu2
_cell_length_a 7.332
_cell_length_b 7.332
_cell_length_c 6.028
_cell_angle_alpha 52.55
_cell_angle_beta 52.55
_cell_angle_gamma 90.00
_symmetry_space_group_name_H-M 'P 1'
_symmetry_Int_Tables_number 1
loop_
_symmetry_equiv_pos_as_xyz
'x,y,z'
loop_
_atom_site_label
_atom_site_fract_x
_atom_site_fract_y
_atom_site_fract_z
_atom_site_occupancy
Au1 0.375 0.358 0.750 1
Au2 0.875 0.892 0.750 1
Au3 0.642 0.125 0.250 1
Au4 0.108 0.625 0.250 1
Sc1 0.250 0.750 0.500 1
Sc2 0.500 0.500 0.000 1
Ti1 0.000 0.000 0.000 1
Ti2 0.750 0.250 0.500 1


Model c:
# ScTiAu2 (PBE, relaxed)
# Total moment in μB/atom: 0.290
data_ScTiAu2
_cell_length_a 3.333
_cell_length_b 3.333
_cell_length_c 6.700
_cell_angle_alpha 90.00
_cell_angle_beta 90.00
_cell_angle_gamma 90.00
_symmetry_space_group_name_H-M 'P 1'
_symmetry_Int_Tables_number 1
loop_
_symmetry_equiv_pos_as_xyz
'x,y,z'
loop_
_atom_site_label
_atom_site_fract_x
_atom_site_fract_y
_atom_site_fract_z
_atom_site_occupancy
Au1 0.000 0.000 0.238 1
Au2 0.000 0.000 0.762 1
Sc1 0.500 0.500 0.500 1
Ti1 0.500 0.500 0.000 1


Short version: model c is the most stable of them.


Model a:
# ScTi2Au2 (PBE, relaxed)
# Total moment in μB/atom: 0.265
data_ScTi2Au2
_cell_length_a 4.227
_cell_length_b 4.227
_cell_length_c 6.455
_cell_angle_alpha 70.89
_cell_angle_beta 70.89
_cell_angle_gamma 90.00
_symmetry_space_group_name_H-M 'P 1'
_symmetry_Int_Tables_number 1
loop_
_symmetry_equiv_pos_as_xyz
'x,y,z'
loop_
_atom_site_label
_atom_site_fract_x
_atom_site_fract_y
_atom_site_fract_z
_atom_site_occupancy
Ti1 0.393 0.393 0.214 1
Ti2 0.607 0.607 0.786 1
Au1 0.750 0.250 0.500 1
Au2 0.250 0.750 0.500 1
Sc1 0.000 0.000 0.000 1


Model b:
# ScTi2Au2 (PBE, relaxed)
# Total moment in μB/atom: 0.460
data_ScTi2Au2
_cell_length_a 7.720
_cell_length_b 7.720
_cell_length_c 3.137
_cell_angle_alpha 90.00
_cell_angle_beta 90.00
_cell_angle_gamma 90.00
_symmetry_space_group_name_H-M 'P 1'
_symmetry_Int_Tables_number 1
loop_
_symmetry_equiv_pos_as_xyz
'x,y,z'
loop_
_atom_site_label
_atom_site_fract_x
_atom_site_fract_y
_atom_site_fract_z
_atom_site_occupancy
Au1 0.856 0.356 0.500 1
Au2 0.644 0.856 0.500 1
Au3 0.356 0.144 0.500 1
Au4 0.144 0.644 0.500 1
Ti1 0.347 0.847 0.000 1
Ti2 0.847 0.653 0.000 1
Ti3 0.653 0.153 0.000 1
Ti4 0.153 0.347 0.000 1
Sc1 0.500 0.500 0.000 1
Sc2 0.000 0.000 0.000 1


Short version: model b is the most stable of them.